Record 1
PBE-GGA ZnCrFe2Pd, relaxed; DOS at the Fermi energy = 1.417 states/eV per atom; volume = 16.33 A^3/atom; final energy = -5.60 eV per atom; SG = No. 123
1.0
-2.165 -3.256 1.414
3.965 -2.560 0.176
0.645 1.268 3.907
Cr Zn Fe Pd
1 1 2 1
direct
0.000 0.000 0.000
0.500 0.500 0.500
0.000 0.000 0.500
0.500 0.000 0.000
0.000 0.500 0.000

=====

Record 2
PBE-GGA LaCo2Sn2, relaxed; DOS at the Fermi energy = 0.847 states/eV per atom; volume = 19.48 A^3/atom; final energy = -5.50 eV per atom; SG = No. 127
1.0
-7.742 0.114 0.741
-0.085 -7.772 0.308
0.308 0.123 3.202
Co Sn La
4 4 2
direct
0.374 0.874 0.000
0.874 0.626 0.000
0.626 0.126 0.000
0.126 0.374 0.000
0.156 0.656 0.500
0.656 0.844 0.500
0.844 0.344 0.500
0.344 0.156 0.500
0.000 0.000 0.000
0.500 0.500 0.000

=====

Record 3
PBE-GGA TbPuFe, relaxed; DOS at the Fermi energy = 1.812 states/eV per atom; offset from the most stable computed form = 0 kJ/mol of formula units; volume = 23.38 A^3/atom; final energy = -9.14 eV per atom; SG = No. 14
1.0
6.708 0.000 -0.259
0.000 6.451 0.000
-2.331 0.000 6.574
Fe Pu Tb
4 4 4
direct
0.521 0.449 0.185
0.479 0.551 0.815
0.021 0.051 0.685
0.979 0.949 0.315
0.211 0.320 0.884
0.789 0.680 0.116
0.289 0.820 0.616
0.711 0.180 0.384
0.267 0.828 0.093
0.767 0.672 0.593
0.733 0.172 0.907
0.233 0.328 0.407

=====

Record 4
PBE-GGA AcIn2AgPt2, relaxed; DOS at the Fermi energy = 0.641 states/eV per atom; volume = 26.98 A^3/atom; final energy = -4.44 eV per atom; SG = No. 139
1.0
-1.018 -4.241 3.084
2.178 -3.199 -3.681
4.486 4.311 2.783
Ac In Ag Pt
1 2 1 2
direct
0.500 0.500 0.000
0.250 0.750 0.500
0.750 0.250 0.500
0.000 0.000 0.000
0.763 0.763 0.525
0.237 0.237 0.475

=====

Record 5
PBE-GGA TcF, relaxed; DOS at the Fermi energy = 0.487 states/eV per atom; offset from the most stable computed form = 35 kJ/mol of formula units; formation energy without anion corrections = -0.857 eV per atom; volume = 15.73 A^3/atom; final energy = -6.98 eV per atom; SG = No. 59
1.0
8.857 0.000 0.000
0.000 5.626 0.000
0.000 0.000 3.789
Tc F
6 6
direct
0.181 0.087 0.000
0.681 0.913 0.500
0.319 0.913 0.500
0.819 0.087 0.000
0.000 0.790 0.000
0.500 0.210 0.500
0.854 0.432 0.000
0.354 0.568 0.500
0.646 0.568 0.500
0.146 0.432 0.000
0.000 0.677 0.500
0.500 0.323 0.000

=====

Record 6
PBE-GGA PuGe4Pd6, relaxed; DOS at the Fermi energy = 1.708 states/eV per atom; offset from the most stable computed form = 182 kJ/mol of formula units; volume = 18.65 A^3/atom; final energy = -6.22 eV per atom; SG = No. 121
1.0
-2.308 3.729 -4.853
-4.372 -2.802 3.977
3.248 3.008 4.816
Pu Ge Pd
1 4 6
direct
0.000 0.000 0.000
0.000 0.135 0.555
0.580 0.445 0.445
0.000 0.555 0.135
0.420 0.865 0.865
0.000 0.773 0.472
0.000 0.472 0.773
0.699 0.227 0.227
0.500 0.000 0.500
0.301 0.528 0.528
0.500 0.500 0.000

=====

Record 7
PBE-GGA NdY2H8, relaxed; DOS at the Fermi energy = 0.100 states/eV per atom; volume = 9.83 A^3/atom; final energy = -4.66 eV per atom; SG = No. 71
1.0
3.532 0.000 -1.075
-0.785 4.543 -2.580
0.015 0.559 6.388
Nd Y H
1 2 8
direct
0.500 0.000 0.000
0.170 0.670 0.340
0.830 0.330 0.660
0.665 0.898 0.330
0.335 0.568 0.670
0.157 0.157 0.313
0.000 0.284 0.000
0.843 0.843 0.687
0.665 0.432 0.330
0.335 0.102 0.670
0.000 0.716 0.000

=====

Record 8
PBE-GGA VP3N, relaxed; DOS at the Fermi energy = 0.883 states/eV per atom; offset from the most stable computed form = 0 kJ/mol of formula units; formation energy without anion corrections = 0.686 eV per atom; volume = 12.59 A^3/atom; final energy = -6.05 eV per atom; SG = No. 221
1.0
3.978 0.000 0.000
0.000 3.978 0.000
0.000 0.000 3.978
P V N
3 1 1
direct
0.000 0.500 0.000
0.000 0.000 0.500
0.500 0.000 0.000
0.500 0.500 0.500
0.000 0.000 0.000

=====

Record 9
PBE-GGA Ta2Nb7Sn3, relaxed; DOS at the Fermi energy = 0.808 states/eV per atom; volume = 20.52 A^3/atom; final energy = -8.68 eV per atom; SG = No. 65
1.0
4.504 0.000 0.000
0.000 4.325 -0.859
0.000 0.253 12.591
Ta Nb Sn
2 7 3
direct
0.000 0.851 0.702
0.000 0.149 0.298
0.000 0.422 0.844
0.000 0.724 0.448
0.000 0.000 0.000
0.000 0.578 0.156
0.500 0.073 0.147
0.500 0.927 0.853
0.000 0.276 0.552
0.500 0.500 0.000
0.500 0.656 0.312
0.500 0.344 0.688

=====

Record 10
PBE-GGA Ca2EuEr, relaxed; DOS at the Fermi energy = 1.253 states/eV per atom; offset from the most stable computed form = 0 kJ/mol of formula units; volume = 38.73 A^3/atom; final energy = -4.60 eV per atom; SG = No. 123
1.0
3.783 0.000 0.000
0.000 3.783 0.000
0.000 0.000 10.824
Eu Ca Er
1 2 1
direct
0.500 0.500 0.500
0.000 0.000 0.768
0.000 0.000 0.232
0.500 0.500 0.000

=====

Record 11
PBE-GGA MnAl2Fe, relaxed; DOS at the Fermi energy = 0.770 states/eV per atom; volume = 12.71 A^3/atom; final energy = -6.55 eV per atom; SG = No. 123
1.0
-2.218 1.875 -1.703
-1.349 -3.191 -1.757
-2.593 -0.475 2.854
Mn Al Fe
1 2 1
direct
0.500 0.000 0.000
0.000 0.000 0.500
0.000 0.500 0.000
0.500 0.500 0.500

=====

Record 12
PBE-GGA BaCrRe2, relaxed; DOS at the Fermi energy = 1.024 states/eV per atom; offset from the most stable computed form = 318 kJ/mol of formula units; volume = 20.12 A^3/atom; final energy = -7.50 eV per atom; SG = No. 123
1.0
-1.819 -4.662 -1.584
3.446 -1.642 0.875
-1.273 -0.737 3.629
Ba Cr Re
1 1 2
direct
0.500 0.500 0.000
0.500 0.000 0.500
0.000 0.000 0.000
0.000 0.500 0.500